Entry 1:
First-principles (GGA-PBE) data for Mg6Tl2Cd after structural relaxation, as listed in Alexandria via LeMat-Bulk.

Lattice parameters (Å, degrees): 3.5669 8.2385 8.2385 120.00 90.00 90.00
Atoms (fractional coordinates):
Mg1 0.5000 0.7182 0.0000
Mg2 0.5000 0.0000 0.7182
Mg3 0.0000 0.0000 0.3699
Mg4 0.5000 0.2818 0.2818
Tl1 0.5000 0.3333 0.6667
Mg5 0.0000 0.6301 0.6301
Mg6 0.0000 0.3699 0.0000
Tl2 0.5000 0.6667 0.3333
Cd1 0.0000 0.0000 0.0000

Calculated values
The offset from the most stable computed form is 0 kJ/mol of formula units. Its final energy is -1.743 eV per atom. The value obtained for the density of states at the Fermi level is 2.41 states/eV/cell. The formation enthalpy at 0 K is -0.0522 eV per atom.

---

Entry 2:
First-principles (GGA-PBE) data for CsBaCeF6 after structural relaxation, as listed in Alexandria via LeMat-Bulk.

Lattice parameters (Å, degrees): 6.9233 6.9233 10.1922 90.00 90.00 120.00
Last column: magnetic moment on the atom in μB.
Atoms (fractional coordinates):
Cs1 0.6667 0.3333 0.7500  0.00
F1 0.6346 0.9242 0.8729  0.00
F2 0.2896 0.9242 0.6271  0.00
F3 0.7104 0.6346 0.1271  0.00
F4 0.2896 0.3654 0.8729  0.00
Ba1 0.0000 0.0000 0.5000  0.00
F5 0.3654 0.0758 0.1271  0.00
Cs2 0.3333 0.6667 0.2500  0.00
F6 0.9242 0.6346 0.3729  0.00
F7 0.6346 0.7104 0.6271  0.00
F8 0.3654 0.2896 0.3729  0.00
Ce1 0.6667 0.3333 0.2500  0.97
F9 0.7104 0.0758 0.3729  0.00
F10 0.0758 0.7104 0.8729  0.00
F11 0.9242 0.2896 0.1271  0.00
F12 0.0758 0.3654 0.6271  0.00
Ba2 0.0000 0.0000 0.0000  0.00
Ce2 0.3333 0.6667 0.7500  0.97

Calculated values
Its final energy is -5.838 eV per atom. The value obtained for the density of states at the Fermi level is 1.27 states/eV/cell. Its uncorrected formation energy is -3.62 eV per atom.

---

Entry 3:
First-principles (GGA-PBE) data for Mn8FeTc3 after structural relaxation, as listed in Alexandria via LeMat-Bulk.

Lattice parameters (Å, degrees): 4.6459 4.6459 8.0433 73.21 73.21 60.00
Last column: magnetic moment on the atom in μB.
Atoms (fractional coordinates):
Mn1 0.3119 0.3119 0.0642  0.17
Mn2 0.5637 0.5637 0.8105  -0.20
Tc1 0.4991 0.4991 0.5026  -0.13
Tc2 0.6248 0.6248 0.1257  -0.09
Fe1 0.1259 0.1259 0.6223  2.23
Mn3 0.5591 0.0634 0.3140  -0.10
Mn4 0.0634 0.0634 0.3140  -0.10
Mn5 0.5637 0.0621 0.8105  -0.20
Mn6 0.8115 0.8115 0.5656  0.32
Tc3 0.0013 0.0013 0.9961  0.04
Mn7 0.0621 0.5637 0.8105  -0.20
Mn8 0.0634 0.5591 0.3140  -0.10

Calculated values
Its final energy is -9.395 eV per atom. The value obtained for the density of states at the Fermi level is 10.73 states/eV/cell. The formation enthalpy at 0 K is 0.0149 eV per atom.

---

Entry 4:
First-principles (GGA-PBE) data for TlHg2Bi2 after structural relaxation, as listed in Alexandria via LeMat-Bulk.

Lattice parameters (Å, degrees): 9.1869 9.1869 3.5937 90.00 90.00 90.00
Atoms (fractional coordinates):
Tl1 0.0000 0.0000 0.0000
Hg1 0.1578 0.3422 0.0000
Hg2 0.8422 0.6578 0.0000
Bi1 0.8604 0.3604 0.5000
Bi2 0.1396 0.6396 0.5000
Bi3 0.3604 0.1396 0.5000
Hg3 0.3422 0.8422 0.0000
Bi4 0.6396 0.8604 0.5000
Hg4 0.6578 0.1578 0.0000
Tl2 0.5000 0.5000 0.0000

Calculated values
The offset from the most stable computed form is 23 kJ/mol of formula units. Its final energy is -2.073 eV per atom. The value obtained for the density of states at the Fermi level is 6.30 states/eV/cell. The formation enthalpy at 0 K is 0.0731 eV per atom.

---

Entry 5:
First-principles (GGA-PBE) data for PaInIr after structural relaxation, as listed in Alexandria via LeMat-Bulk.

Lattice parameters (Å, degrees): 4.6841 4.6841 4.6841 60.00 60.00 60.00
Atoms (fractional coordinates):
Pa1 0.0000 0.0000 0.0000
In1 0.5000 0.5000 0.5000
Ir1 0.2500 0.2500 0.2500

Calculated values
Its final energy is -7.468 eV per atom. The value obtained for the density of states at the Fermi level is 6.38 states/eV/cell. The formation enthalpy at 0 K is -0.4367 eV per atom.

---

Entry 6:
First-principles (GGA-PBE) data for CaNdIn after structural relaxation, as listed in Alexandria via LeMat-Bulk.

Lattice parameters (Å, degrees): 5.3653 5.3653 5.3653 60.00 60.00 60.00
Atoms (fractional coordinates):
Nd1 0.5000 0.5000 0.5000
Ca1 0.0000 0.0000 0.0000
In1 0.2500 0.2500 0.2500

Calculated values
The offset from the most stable computed form is 65 kJ/mol of formula units. Its final energy is -3.371 eV per atom. The value obtained for the density of states at the Fermi level is 1.63 states/eV/cell. The formation enthalpy at 0 K is -0.2017 eV per atom.